## TaGeAs (PBE)

Data for a relaxed structure of TaGeAs.

The structure in POSCAR format:
```
TaGeAs
1.0
-1.732 -1.415 3.846
-4.412 -0.056 0.566
-2.172 -3.879 0.168
As Ge Ta
1 1 1
Direct
0.250 0.250 0.250 As
0.750 0.750 0.750 Ge
0.000 0.000 0.000 Ta
```

* calculated total energy: -20.13 eV per cell
* space-group type: F-43m, No. 216
* volume: 20.8 Å³/atom